No. 1
The following is a GGA-PBE calculation of an optimized crystal structure of Rb7Br2O2, from the Alexandria database.

Structure (POSCAR):
```
Rb7Br2O2
1.0
0.280 -4.647 -6.747
8.107 -1.807 2.585
-6.202 -4.649 3.949
Rb Br O
7 2 2
Direct
0.273 0.621 0.928 Rb
0.727 0.072 0.379 Rb
0.193 0.436 0.436 Rb
0.807 0.564 0.564 Rb
0.273 0.928 0.621 Rb
0.000 0.000 0.000 Rb
0.727 0.379 0.072 Rb
0.500 0.680 0.320 Br
0.500 0.320 0.680 Br
0.110 0.731 0.731 O
0.890 0.269 0.269 O
```

Calculated values
mass density = 2.37 g/cm³
magnetization = 0.000 μB per formula unit
energy = -2.93 eV/atom

***

No. 2
The following is a GGA-PBE calculation of an optimized crystal structure of RbBr2O2, from the Alexandria database.

Structure (POSCAR):
```
RbBr2O2
1.0
4.710 0.000 0.000
0.000 4.710 0.000
2.355 2.355 5.594
Br O Rb
2 2 1
Direct
0.719 0.719 0.562 Br
0.281 0.281 0.438 Br
0.750 0.250 0.500 O
0.250 0.750 0.500 O
0.000 0.000 0.000 Rb
```

Calculated values
mass density = 3.71 g/cm³
magnetization = 0.000 μB per formula unit
energy = -2.83 eV/atom

***

No. 3
The following is a GGA-PBE calculation of an optimized crystal structure of RbBrO2, from the Alexandria database.

Structure (POSCAR):
```
RbBrO2
1.0
-1.630 3.176 4.067
-2.880 -4.099 2.047
2.562 -2.203 6.348
Rb O Br
2 4 2
Direct
0.750 0.250 0.500 Rb
0.000 0.000 0.000 Rb
0.269 0.625 0.250 O
0.875 0.731 0.750 O
0.481 0.125 0.250 O
0.375 0.519 0.750 O
0.250 0.750 0.500 Br
0.500 0.500 0.000 Br
```

Calculated values
mass density = 3.68 g/cm³
magnetization = 0.000 μB per formula unit
energy = -3.33 eV/atom

***

No. 4
The following is a GGA-PBE calculation of an optimized crystal structure of RbBrO3, from the Alexandria database.

Structure (POSCAR):
```
RbBrO3
1.0
-3.740 0.946 2.904
-0.392 -4.702 1.027
3.029 0.559 3.719
Rb O Br
1 3 1
Direct
0.000 0.000 0.000 Rb
0.000 0.500 0.000 O
0.000 0.000 0.500 O
0.500 0.000 0.000 O
0.500 0.500 0.500 Br
```

Calculated values
mass density = 3.15 g/cm³
magnetization = 6.000 μB per formula unit
energy = -2.34 eV/atom